NaRe2Ni: optimized geometry, PBE.

Calculated values
The calculation puts the total energy at -55.14 eV/cell. The value obtained for the polymorph energy (0 for the lowest one) is 0.0 meV/atom. As for the formation enthalpy at 0 K: 4.43 eV/f.u.

Cell lengths 3.666, 3.666, 10.118 Å; angles 79.56, 79.56, 90.00 degrees
Sites, in units of the cell vectors:
Re1 0.375 0.909 0.750
Re2 0.091 0.125 0.250
Re3 0.875 0.341 0.750
Re4 0.659 0.625 0.250
Na1 0.500 0.500 0.000
Na2 0.250 0.750 0.500
Ni1 0.000 0.000 0.000
Ni2 0.750 0.250 0.500

Ta5Re: optimized geometry, PBE.

Calculated values
The calculation puts the total energy at -66.70 eV/cell. The value obtained for the polymorph energy (0 for the lowest one) is 1000.7 meV/atom. As for the formation enthalpy at 0 K: 5.01 eV/f.u.

Cell lengths 5.240, 5.240, 4.883 Å; angles 90.00, 90.00, 120.00 degrees
Sites, in units of the cell vectors:
Ta1 0.333 0.667 0.000
Ta2 0.667 0.333 0.000
Ta3 0.500 0.000 0.500
Ta4 0.000 0.500 0.500
Ta5 0.500 0.500 0.500
Re1 0.000 0.000 0.000

ReC: optimized geometry, PBE.

Calculated values
The calculation puts the total energy at -61.25 eV/cell. The value obtained for the polymorph energy (0 for the lowest one) is 387.7 meV/atom. As for the formation enthalpy at 0 K: 1.26 eV/f.u.

Cell lengths 4.137, 4.137, 4.137 Å; angles 90.00, 90.00, 90.00 degrees
Sites, in units of the cell vectors:
Re1 0.000 0.500 0.000
Re2 0.500 0.000 0.000
Re3 0.000 0.000 0.500
C1 0.500 0.000 0.500
C2 0.500 0.500 0.000
C3 0.000 0.500 0.500

GdDyCdIr: optimized geometry, PBE.

Calculated values
The calculation puts the total energy at -30.58 eV/cell. As for the formation enthalpy at 0 K: -2.12 eV/f.u.

Cell lengths 5.062, 5.062, 5.062 Å; angles 60.00, 60.00, 60.00 degrees
Sites, in units of the cell vectors:
Gd1 0.000 0.000 0.000
Ir1 0.250 0.250 0.250
Cd1 0.750 0.750 0.750
Dy1 0.500 0.500 0.500

Sn5S12I3: optimized geometry, PBE.

Calculated values
The calculation puts the total energy at -284.38 eV/cell. The value obtained for the uncorrected formation energy is 0.155 eV/atom.

Cell lengths 14.462, 14.462, 14.462 Å; angles 109.47, 109.47, 109.47 degrees
Sites, in units of the cell vectors:
S1 0.382 0.018 0.327
S2 0.882 0.055 0.864
S3 0.809 0.482 0.364
S4 0.445 0.309 0.327
S5 0.673 0.482 0.618
S6 0.136 0.445 0.118
S7 0.809 0.327 0.945
S8 0.118 0.945 0.136
S9 0.827 0.945 0.309
S10 0.055 0.173 0.191
S11 0.882 0.827 0.518
S12 0.864 0.309 0.482
S13 0.482 0.809 0.864
S14 0.864 0.555 0.882
S15 0.673 0.191 0.555
S16 0.482 0.673 0.118
S17 0.327 0.809 0.445
S18 0.191 0.673 0.055
S19 0.945 0.827 0.809
S20 0.136 0.691 0.518
S21 0.827 0.882 0.018
S22 0.364 0.382 0.055
S23 0.309 0.445 0.827
S24 0.945 0.118 0.636
S25 0.364 0.982 0.809
S26 0.327 0.518 0.382
S27 0.018 0.382 0.827
S28 0.518 0.327 0.882
S29 0.691 0.136 0.018
S30 0.636 0.018 0.191
S31 0.173 0.118 0.982
S32 0.982 0.618 0.173
S33 0.982 0.364 0.309
S34 0.055 0.882 0.364
S35 0.691 0.555 0.173
S36 0.555 0.691 0.673
S37 0.618 0.636 0.445
S38 0.018 0.636 0.691
S39 0.518 0.191 0.136
S40 0.118 0.173 0.482
S41 0.382 0.364 0.555
S42 0.555 0.864 0.382
S43 0.309 0.864 0.982
S44 0.191 0.518 0.636
S45 0.173 0.055 0.691
S46 0.636 0.618 0.945
S47 0.445 0.136 0.618
S48 0.618 0.982 0.673
Sn1 0.625 0.750 0.875
Sn2 0.000 0.500 0.000
Sn3 0.000 0.000 0.000
Sn4 0.250 0.375 0.625
Sn5 0.500 0.000 0.500
Sn6 0.250 0.875 0.125
Sn7 0.000 0.500 0.500
Sn8 0.125 0.750 0.375
Sn9 0.000 0.000 0.500
Sn10 0.500 0.500 0.500
Sn11 0.500 0.000 0.000
Sn12 0.875 0.250 0.625
Sn13 0.375 0.125 0.750
Sn14 0.750 0.125 0.875
Sn15 0.750 0.625 0.375
Sn16 0.625 0.875 0.250
Sn17 0.875 0.625 0.750
Sn18 0.500 0.500 0.000
Sn19 0.125 0.375 0.250
Sn20 0.375 0.250 0.125
I1 0.875 0.125 0.250
I2 0.625 0.250 0.375
I3 0.875 0.750 0.125
I4 0.125 0.250 0.875
I5 0.250 0.125 0.375
I6 0.625 0.375 0.750
I7 0.750 0.875 0.625
I8 0.375 0.750 0.625
I9 0.375 0.625 0.250
I10 0.250 0.625 0.875
I11 0.125 0.875 0.750
I12 0.750 0.375 0.125

UAs3Pd4Pb2: optimized geometry, PBE.

Calculated values
The calculation puts the total energy at -56.12 eV/cell. As for the formation enthalpy at 0 K: -2.69 eV/f.u.

Cell lengths 4.275, 4.275, 11.533 Å; angles 90.00, 90.00, 90.00 degrees
Sites, in units of the cell vectors:
Pd1 0.000 0.000 0.000
Pd2 0.000 0.500 0.341
Pd3 0.500 0.500 0.000
Pd4 0.500 0.000 0.659
Pb1 0.500 0.000 0.227
Pb2 0.000 0.500 0.773
As1 0.000 0.500 0.124
As2 0.000 0.000 0.500
As3 0.500 0.000 0.876
U1 0.500 0.500 0.500

MnTcOs2: optimized geometry, PBE.

Calculated values
The calculation puts the total energy at -41.61 eV/cell. The value obtained for the polymorph energy (0 for the lowest one) is 33.5 meV/atom. As for the formation enthalpy at 0 K: 0.39 eV/f.u.

Cell lengths 8.870, 8.870, 8.870 Å; angles 17.50, 17.50, 17.50 degrees
Sites, in units of the cell vectors:
Os1 0.003 0.003 0.003
Os2 0.497 0.497 0.497
Mn1 0.750 0.750 0.750
Tc1 0.250 0.250 0.250

LiMn2Os: optimized geometry, PBE.

Calculated values
The calculation puts the total energy at -30.01 eV/cell. As for the formation enthalpy at 0 K: 1.48 eV/f.u.

Cell lengths 2.661, 2.661, 8.863 Å; angles 90.00, 90.00, 114.49 degrees
Sites, in units of the cell vectors:
Mn1 0.000 0.000 0.012
Mn2 0.000 0.000 0.488
Li1 0.500 0.500 0.750
Os1 0.500 0.500 0.250

Ni5MoPt6: optimized geometry, PBE.

Calculated values
The calculation puts the total energy at -78.08 eV/cell. As for the formation enthalpy at 0 K: -2.09 eV/f.u.

Cell lengths 3.851, 7.414, 7.138 Å; angles 121.29, 105.65, 90.00 degrees
Sites, in units of the cell vectors:
Ni1 0.667 0.667 0.333
Ni2 0.333 0.333 0.667
Ni3 0.660 0.160 0.320
Ni4 0.000 0.500 0.000
Ni5 0.340 0.840 0.680
Pt1 0.168 0.916 0.336
Pt2 0.168 0.420 0.336
Pt3 0.832 0.084 0.664
Pt4 0.500 0.254 0.000
Pt5 0.832 0.580 0.664
Pt6 0.500 0.746 0.000
Mo1 0.000 0.000 0.000